1.
A plane-wave DFT calculation with PBE-GGA was carried out for crystalline AlZnAs at its relaxed geometry.

Summary:
* M_tot: 0.0 Bohr magnetons per cell
* E above lowest polymorph: 0.1112 eV/atom
* ΔH_f (0 K): 163 meV per atom
* volume: 17.5 Å³/atom
* crystal system: tetragonal

abc: 3.043 3.043 11.324
angles: 90.00 90.00 90.00
Space group I4mm (No. 107)
One atom of each set of equivalent atoms:
1 Al 0.000 0.000 0.000 [2 per cell]
2 Zn 0.000 0.000 0.341 [2 per cell]
3 As 0.000 0.000 0.661 [2 per cell]

---

2.
A plane-wave DFT calculation with PBE-GGA was carried out for crystalline Al2Zn2As at its relaxed geometry.

Summary:
* M_tot: 0.0 Bohr magnetons per cell
* E above lowest polymorph: 0.0400 eV/atom
* ΔH_f (0 K): 211 meV per atom
* volume: 18.1 Å³/atom
* crystal system: tetragonal

abc: 3.904 3.904 11.874
angles: 90.00 90.00 90.00
Space group I4/mmm (No. 139)
One atom of each set of equivalent atoms:
1 Al 0.000 0.500 0.250 [4 per cell]
2 Zn 0.000 0.000 0.101 [4 per cell]
3 As 0.000 0.000 0.500 [2 per cell]

---

3.
A plane-wave DFT calculation with PBE-GGA was carried out for crystalline AlZn2As at its relaxed geometry.

Summary:
* M_tot: 0.0 Bohr magnetons per cell
* E above lowest polymorph: 0.2089 eV/atom
* ΔH_f (0 K): 268 meV per atom
* volume: 22.5 Å³/atom
* crystal system: tetragonal

abc: 6.433 6.433 8.708
angles: 90.00 90.00 90.00
Space group I-42d (No. 122)
One atom of each set of equivalent atoms:
1 Al 0.000 0.000 0.000 [4 per cell]
2 Zn 0.228 0.250 0.625 [8 per cell]
3 As 0.000 0.000 0.500 [4 per cell]

---

4.
A plane-wave DFT calculation with PBE-GGA was carried out for crystalline AlZnAs2 at its relaxed geometry.

Summary:
* M_tot: 0.0 Bohr magnetons per cell
* E above lowest polymorph: 0.2866 eV/atom
* ΔH_f (0 K): 94 meV per atom
* volume: 21.8 Å³/atom
* crystal system: monoclinic

abc: 11.454 3.759 4.291
angles: 90.00 109.33 90.00
Space group C2/m (No. 12)
One atom of each set of equivalent atoms:
1 Al 0.000 0.000 0.000 [2 per cell]
2 Zn 0.000 0.500 0.500 [2 per cell]
3 As 0.162 0.500 0.041 [4 per cell]

---

5.
A plane-wave DFT calculation with PBE-GGA was carried out for crystalline AlZn2As at its relaxed geometry.

Summary:
* M_tot: 0.0 Bohr magnetons per cell
* E above lowest polymorph: 0.0498 eV/atom
* ΔH_f (0 K): 109 meV per atom
* volume: 16.8 Å³/atom
* crystal system: tetragonal

abc: 2.929 2.929 7.851
angles: 90.00 90.00 90.00
Space group P4mm (No. 99)
One atom of each set of equivalent atoms:
1 Al 0.000 0.000 0.000 [1 per cell]
2 Zn 0.000 0.000 0.537 [1 per cell]
3 Zn 0.500 0.500 0.766 [1 per cell]
4 As 0.500 0.500 0.263 [1 per cell]

---

6.
A plane-wave DFT calculation with PBE-GGA was carried out for crystalline AlZn2As at its relaxed geometry.

Summary:
* M_tot: 0.0 Bohr magnetons per cell
* E above lowest polymorph: 0.1603 eV/atom
* ΔH_f (0 K): 220 meV per atom
* volume: 17.8 Å³/atom
* crystal system: cubic

abc: 6.580 6.580 6.580
angles: 90.00 90.00 90.00
Space group Fm-3m (No. 225)
One atom of each set of equivalent atoms:
1 Al 0.000 0.000 0.000 [4 per cell]
2 Zn 0.250 0.250 0.250 [8 per cell]
3 As 0.000 0.000 0.500 [4 per cell]

---

7.
A plane-wave DFT calculation with PBE-GGA was carried out for crystalline Al2ZnAs at its relaxed geometry.

Summary:
* M_tot: 0.0 Bohr magnetons per cell
* E above lowest polymorph: 0.1051 eV/atom
* ΔH_f (0 K): 112 meV per atom
* volume: 17.3 Å³/atom
* crystal system: tetragonal

abc: 4.461 4.461 3.484
angles: 90.00 90.00 90.00
Space group P4/mmm (No. 123)
One atom of each set of equivalent atoms:
1 Al 0.000 0.500 0.000 [2 per cell]
2 Zn 0.000 0.000 0.500 [1 per cell]
3 As 0.500 0.500 0.500 [1 per cell]

---

8.
A plane-wave DFT calculation with PBE-GGA was carried out for crystalline AlZnAs2 at its relaxed geometry.

Summary:
* M_tot: 0.0 Bohr magnetons per cell
* E above lowest polymorph: 0.3163 eV/atom
* ΔH_f (0 K): 124 meV per atom
* volume: 19.8 Å³/atom
* crystal system: trigonal

abc: 3.0839 3.0839 28.8624
angles: 90.00 90.00 120.00
Space group R3m (No. 160, hexagonal axes)
One atom of each set of equivalent atoms:
1 Al 0.0000 0.0000 0.0000 [3 per cell]
2 Zn 0.0000 0.0000 0.2633 [3 per cell]
3 As 0.0000 0.0000 0.5298 [3 per cell]
4 As 0.0000 0.0000 0.7352 [3 per cell]

---

9.
A plane-wave DFT calculation with PBE-GGA was carried out for crystalline AlZnAs2 at its relaxed geometry.

Summary:
* M_tot: 0.0 Bohr magnetons per cell
* E above lowest polymorph: 0.3573 eV/atom
* ΔH_f (0 K): 165 meV per atom
* volume: 18.7 Å³/atom
* crystal system: orthorhombic

abc: 3.815 5.372 7.294
angles: 90.00 90.00 90.00
Space group Cmmm (No. 65)
One atom of each set of equivalent atoms:
1 Al 0.000 0.000 0.000 [2 per cell]
2 Zn 0.000 0.000 0.500 [2 per cell]
3 As 0.000 0.500 0.245 [4 per cell]

---

10.
A plane-wave DFT calculation with PBE-GGA was carried out for crystalline AlZnAs2 at its relaxed geometry.

Summary:
* M_tot: 0.0 Bohr magnetons per cell
* E above lowest polymorph: 0.3833 eV/atom
* ΔH_f (0 K): 191 meV per atom
* volume: 18.4 Å³/atom
* crystal system: tetragonal

abc: 2.828 2.828 9.194
angles: 90.00 90.00 90.00
Space group P4mm (No. 99)
One atom of each set of equivalent atoms:
1 Al 0.000 0.000 0.000 [1 per cell]
2 Zn 0.500 0.500 0.785 [1 per cell]
3 As 0.000 0.000 0.562 [1 per cell]
4 As 0.500 0.500 0.229 [1 per cell]

---

11.
A plane-wave DFT calculation with PBE-GGA was carried out for crystalline Al2ZnAs at its relaxed geometry.

Summary:
* M_tot: 0.0 Bohr magnetons per cell
* E above lowest polymorph: 0.1164 eV/atom
* ΔH_f (0 K): 123 meV per atom
* volume: 17.4 Å³/atom
* crystal system: orthorhombic

abc: 4.025 4.405 7.831
angles: 90.00 90.00 90.00
Space group Cmm2 (No. 35)
One atom of each set of equivalent atoms:
1 Al 0.000 0.000 0.000 [2 per cell]
2 Al 0.000 0.500 0.245 [2 per cell]
3 Zn 0.000 0.000 0.481 [2 per cell]
4 As 0.000 0.500 0.751 [2 per cell]

---

12.
A plane-wave DFT calculation with PBE-GGA was carried out for crystalline AlZnAs3 at its relaxed geometry.

Summary:
* M_tot: 0.0 Bohr magnetons per cell
* E above lowest polymorph: 0.0000 eV/atom
* ΔH_f (0 K): 633 meV per atom
* volume: 22.9 Å³/atom
* crystal system: cubic

abc: 4.857 4.857 4.857
angles: 90.00 90.00 90.00
Space group Pm-3m (No. 221)
One atom of each set of equivalent atoms:
1 Al 0.000 0.000 0.000 [1 per cell]
2 Zn 0.500 0.500 0.500 [1 per cell]
3 As 0.000 0.000 0.500 [3 per cell]